4
Lattice="4.4524 0.0000 0.0000 0.0000 4.4524 0.0000 0.0000 0.0000 3.0760" Properties=species:S:1:pos:R:3 comment="YMnBe2 (PBE-GGA, optimized geometry)" relative_energy_mev_per_atom=390 m_tot_mub_per_cell=2.9 formation_energy_ev_per_fu=1.7 rho_g_cm3=4.408 pbc="T T T"
Be 0.0000 0.0000 0.0000
Be 2.2262 2.2262 0.0000
Mn 2.2262 0.0000 1.5380
Y 0.0000 2.2262 1.5380